[1]
CrMo2Se: optimized geometry, PBE.

Results
Crystal system   orthorhombic
DOS at the Fermi energy   3.45 states/eV per cell
Uncorrected formation energy   0.3315 eV per atom
SG   No. 47
Calculated total energy   -33.4 eV/cell

Lattice parameters (Å, degrees): 3.1625 4.2998 4.4599 90.00 90.00 90.00
Atoms (fractional coordinates):
Cr 0.0000 0.0000 0.0000
Mo 0.0000 0.5000 0.5000
Mo 0.5000 0.0000 0.5000
Se 0.5000 0.5000 0.0000

---

[2]
CrMoSe: optimized geometry, PBE.

Results
Crystal system   orthorhombic
DOS at the Fermi energy   2.36 states/eV per cell
Uncorrected formation energy   0.3497 eV per atom
ΔE to the lowest computed polymorph   153.1 meV/atom
SG   No. 44
Calculated total energy   -22.9 eV/cell

Lattice parameters (Å, degrees): 4.4527 4.4527 4.4527 140.39 126.58 68.51
Atoms (fractional coordinates):
Cr 0.0000 0.0000 0.0000
Mo 0.6641 0.6641 0.0000
Se 0.3262 0.3262 0.0000

---

[3]
CrTe2Mo2Se4: optimized geometry, PBE.

Results
Crystal system   trigonal
Uncorrected formation energy   -0.4767 eV per atom
SG   No. 156
Calculated total energy   -55.8 eV/cell

Lattice parameters (Å, degrees): 3.3727 3.3727 22.4516 90.00 90.00 120.00
Atoms (fractional coordinates):
Cr 0.0000 0.0000 0.0000
Te 0.6667 0.3333 0.0777
Te 0.6667 0.3333 0.9223
Mo 0.0000 0.0000 0.6447
Mo 0.6667 0.3333 0.3272
Se 0.0000 0.0000 0.2534
Se 0.0000 0.0000 0.4010
Se 0.6667 0.3333 0.5710
Se 0.6667 0.3333 0.7185

---

[4]
CrTe4Mo2Se2: optimized geometry, PBE.

Results
Crystal system   trigonal
DOS at the Fermi energy   3.15 states/eV per cell
Uncorrected formation energy   -0.2996 eV per atom
SG   No. 156
Calculated total energy   -53.5 eV/cell

Lattice parameters (Å, degrees): 3.4491 3.4491 22.6366 90.00 90.00 120.00
Atoms (fractional coordinates):
Cr 0.0000 0.0000 0.0000
Te 0.0000 0.0000 0.2344
Te 0.0000 0.0000 0.3982
Te 0.6667 0.3333 0.5718
Te 0.6667 0.3333 0.7356
Mo 0.0000 0.0000 0.6537
Mo 0.6667 0.3333 0.3163
Se 0.6667 0.3333 0.0668
Se 0.6667 0.3333 0.9332

---

[5]
ZnCrMoSe2: optimized geometry, PBE.

Results
Crystal system   tetragonal
DOS at the Fermi energy   6.27 states/eV per cell
Uncorrected formation energy   0.8123 eV per atom
SG   No. 123
Calculated total energy   -24.6 eV/cell

Lattice parameters (Å, degrees): 4.6013 4.6013 4.7108 90.00 90.00 90.00
Atoms (fractional coordinates):
Zn 0.0000 0.0000 0.0000
Cr 0.5000 0.5000 0.5000
Mo 0.5000 0.5000 0.0000
Se 0.0000 0.5000 0.5000
Se 0.5000 0.0000 0.5000

---

[6]
CrSi2Mo: optimized geometry, PBE.

Results
Crystal system   tetragonal
DOS at the Fermi energy   4.07 states/eV per cell
Uncorrected formation energy   -0.0936 eV per atom
ΔE to the lowest computed polymorph   238.6 meV/atom
SG   No. 123
Calculated total energy   -31.7 eV/cell

Lattice parameters (Å, degrees): 2.9174 2.9174 6.0855 90.00 90.00 90.00
Atoms (fractional coordinates):
Cr 0.0000 0.0000 0.0000
Si 0.5000 0.5000 0.2185
Si 0.5000 0.5000 0.7815
Mo 0.0000 0.0000 0.5000

---

[7]
CrSi2Mo: optimized geometry, PBE.

Results
Crystal system   orthorhombic
DOS at the Fermi energy   3.19 states/eV per cell
Uncorrected formation energy   -0.1140 eV per atom
ΔE to the lowest computed polymorph   218.2 meV/atom
SG   No. 44
Calculated total energy   -31.8 eV/cell

Lattice parameters (Å, degrees): 4.8097 4.8097 4.8097 141.09 130.45 64.73
Atoms (fractional coordinates):
Cr 0.0000 0.0000 0.0000
Si 0.4986 0.4986 0.0000
Si 0.7671 0.2671 0.5000
Mo 0.2467 0.7467 0.5000

---

[8]
CrSi2Mo: optimized geometry, PBE.

Results
Crystal system   trigonal
DOS at the Fermi energy   1.84 states/eV per cell
Uncorrected formation energy   0.0735 eV per atom
ΔE to the lowest computed polymorph   405.6 meV/atom
SG   No. 160
Calculated total energy   -31.0 eV/cell

Lattice parameters (Å, degrees): 8.0120 8.0120 8.0120 20.57 20.57 20.57
Atoms (fractional coordinates):
Cr 0.0000 0.0000 0.0000
Si 0.4991 0.4991 0.4991
Si 0.7434 0.7434 0.7434
Mo 0.2511 0.2511 0.2511